No. 1
# CdFe2Cl

A relaxed CdFe2Cl crystal (PBE, Alexandria via LeMat-Bulk).

## Properties
Space group: P4/mmm (123)
ΔE_f (raw) (meV per atom): 420
Raw total energy (eV per atom): -4.502

Lattice parameters (Å, degrees): 2.907 2.907 7.506 90.00 90.00 90.00
Each line ends with the local moment (μB).
Positions (direct):
Cl (0.500, 0.500, 0.750)  0.13
Fe (0.000, 0.000, 0.978)  2.88
Fe (0.000, 0.000, 0.522)  2.88
Cd (0.500, 0.500, 0.250)  -0.06

---

No. 2
# Pm4HoSn5

A relaxed Pm4HoSn5 crystal (PBE, Alexandria via LeMat-Bulk).

## Properties
Space group: P4/mmm (123)
Raw total energy (eV per atom): -5.026
Formation energy from the elements (eV per atom): -0.666

Lattice parameters (Å, degrees): 3.508 3.508 22.519 90.00 90.00 90.00
Positions (direct):
Pm (0.000, 0.000, 0.198)
Pm (0.000, 0.000, 0.399)
Pm (0.000, 0.000, 0.601)
Pm (0.000, 0.000, 0.802)
Ho (0.000, 0.000, 0.000)
Sn (0.500, 0.500, 0.096)
Sn (0.500, 0.500, 0.298)
Sn (0.500, 0.500, 0.500)
Sn (0.500, 0.500, 0.702)
Sn (0.500, 0.500, 0.904)

---

No. 3
# LaRePO2

A relaxed LaRePO2 crystal (PBE, Alexandria via LeMat-Bulk).

## Properties
Space group: P4/mmm (123)
ΔE_f (raw) (meV per atom): -19
Raw total energy (eV per atom): -6.559

Lattice parameters (Å, degrees): 4.121 4.121 6.595 90.00 90.00 90.00
Each line ends with the local moment (μB).
Positions (direct):
Re (0.500, 0.500, 0.500)  -3.34
O (0.000, 0.500, 0.000)  0.13
O (0.500, 0.000, 0.000)  0.13
P (0.000, 0.000, 0.500)  0.09
La (0.000, 0.000, 0.000)  0.14

---

No. 4
# Pm2Bi

A relaxed Pm2Bi crystal (PBE, Alexandria via LeMat-Bulk).

## Properties
Space group: I4/mmm (139)
Raw total energy (eV per atom): -5.124
Formation energy from the elements (eV per atom): -0.663

Lattice parameters (Å, degrees): 4.605 4.605 9.556 103.94 103.94 90.00
Positions (direct):
Pm (0.678, 0.678, 0.357)
Pm (0.322, 0.322, 0.643)
Pm (0.500, 0.000, 0.000)
Pm (0.000, 0.500, 0.000)
Bi (0.139, 0.139, 0.279)
Bi (0.861, 0.861, 0.721)

---

No. 5
# ErPaCd

A relaxed ErPaCd crystal (PBE, Alexandria via LeMat-Bulk).

## Properties
Space group: Fmmm (69)
Raw total energy (eV per atom): -4.474
Formation energy from the elements (eV per atom): 0.517

Lattice parameters (Å, degrees): 5.341 4.899 8.333 79.94 71.31 56.97
Each line ends with the local moment (μB).
Positions (direct):
Pa (0.750, 0.500, 0.500)  1.60
Pa (0.250, 0.500, 0.500)  1.60
Cd (0.832, 0.336, 0.000)  0.00
Cd (0.168, 0.664, 0.000)  0.00
Er (0.599, 0.000, 0.802)  0.05
Er (0.401, 0.000, 0.198)  0.05

---

No. 6
# Ac3Zn2Sn4

A relaxed Ac3Zn2Sn4 crystal (PBE, Alexandria via LeMat-Bulk).

## Properties
Space group: C2/m (12)
Raw total energy (eV per atom): -3.997
Formation energy from the elements (eV per atom): -0.566

Lattice parameters (Å, degrees): 4.732 6.643 9.582 108.07 90.00 110.86
Positions (direct):
Ac (0.625, 0.249, 0.685)
Ac (0.000, 0.000, 0.000)
Ac (0.375, 0.751, 0.315)
Zn (0.692, 0.384, 0.349)
Zn (0.308, 0.616, 0.651)
Sn (0.712, 0.425, 0.067)
Sn (0.288, 0.575, 0.933)
Sn (0.903, 0.806, 0.607)
Sn (0.097, 0.194, 0.393)

---

No. 7
# MnAu3Se

A relaxed MnAu3Se crystal (PBE, Alexandria via LeMat-Bulk).

## Properties
Space group: Pm-3m (221)
ΔE_f (raw) (meV per atom): 761
Raw total energy (eV per atom): -3.736

Lattice parameters (Å, degrees): 5.026 5.026 5.026 90.00 90.00 90.00
Each line ends with the local moment (μB).
Positions (direct):
Mn (0.500, 0.500, 0.500)  4.52
Au (0.000, 0.500, 0.000)  0.00
Au (0.000, 0.000, 0.500)  0.01
Au (0.500, 0.000, 0.000)  0.06
Se (0.000, 0.000, 0.000)  0.02

---

No. 8
# CuSnTeW2

A relaxed CuSnTeW2 crystal (PBE, Alexandria via LeMat-Bulk).

## Properties
Space group: P4/mmm (123)
ΔE_f (raw) (meV per atom): 1724
Raw total energy (eV per atom): -5.705

Lattice parameters (Å, degrees): 4.744 4.800 4.744 90.00 90.00 90.00
Positions (direct):
Te (0.000, 0.500, 0.000)
Sn (0.500, 0.500, 0.500)
W (0.000, 0.000, 0.500)
W (0.500, 0.000, 0.000)
Cu (0.000, 0.000, 0.000)

---

No. 9
# Mg15Cd2Pb2

A relaxed Mg15Cd2Pb2 crystal (PBE, Alexandria via LeMat-Bulk).

## Properties
Space group: R-3m (166)
Raw total energy (eV per atom): -1.686
Formation energy from the elements (eV per atom): 0.060

Lattice parameters (Å, degrees): 7.865 7.865 7.865 80.96 80.96 80.96
Positions (direct):
Mg (0.000, 0.500, 0.000)
Mg (0.000, 0.000, 0.500)
Mg (0.500, 0.000, 0.000)
Mg (0.316, 0.000, 0.684)
Mg (0.684, 0.316, 0.000)
Mg (0.000, 0.684, 0.316)
Mg (0.316, 0.684, 0.000)
Mg (0.000, 0.316, 0.684)
Mg (0.684, 0.000, 0.316)
Mg (0.341, 0.841, 0.341)
Mg (0.341, 0.341, 0.841)
Mg (0.841, 0.341, 0.341)
Mg (0.659, 0.159, 0.659)
Mg (0.659, 0.659, 0.159)
Mg (0.159, 0.659, 0.659)
Cd (0.904, 0.904, 0.904)
Cd (0.096, 0.096, 0.096)
Pb (0.686, 0.686, 0.686)
Pb (0.314, 0.314, 0.314)

---

No. 10
# NaSrCd2

A relaxed NaSrCd2 crystal (PBE, Alexandria via LeMat-Bulk).

## Properties
Space group: P4/mmm (123)
Raw total energy (eV per atom): -1.390
Formation energy from the elements (eV per atom): -0.183

Lattice parameters (Å, degrees): 3.948 3.948 7.701 90.00 90.00 90.00
Positions (direct):
Sr (0.500, 0.500, 0.500)
Na (0.500, 0.500, 0.000)
Cd (0.000, 0.000, 0.779)
Cd (0.000, 0.000, 0.221)

---

No. 11
# YThBi2

A relaxed YThBi2 crystal (PBE, Alexandria via LeMat-Bulk).

## Properties
Space group: R-3m (166)
Raw total energy (eV per atom): -6.141
Formation energy from the elements (eV per atom): -0.730

Lattice parameters (Å, degrees): 4.553 4.553 7.823 73.08 73.08 60.00
Positions (direct):
Y (0.500, 0.500, 0.500)
Bi (0.753, 0.753, 0.741)
Bi (0.247, 0.247, 0.259)
Th (0.000, 0.000, 0.000)

---

No. 12
# VIr2I

A relaxed VIr2I crystal (PBE, Alexandria via LeMat-Bulk).

## Properties
Space group: I-42d (122)
ΔE_f (raw) (meV per atom): 764
Raw total energy (eV per atom): -6.333

Lattice parameters (Å, degrees): 6.056 6.056 6.659 62.95 62.95 90.00
Positions (direct):
I (0.000, 0.000, 0.000)
I (0.750, 0.250, 0.500)
Ir (0.585, 0.125, 0.250)
Ir (0.165, 0.625, 0.250)
Ir (0.375, 0.415, 0.750)
Ir (0.875, 0.835, 0.750)
V (0.500, 0.500, 0.000)
V (0.250, 0.750, 0.500)

---

No. 13
# La6Ir2SCl2

A relaxed La6Ir2SCl2 crystal (PBE, Alexandria via LeMat-Bulk).

## Properties
Space group: C2/m (12)
ΔE_f (raw) (meV per atom): -1302
Raw total energy (eV per atom): -6.311

Lattice parameters (Å, degrees): 7.315 7.315 7.420 99.38 99.38 118.38
Positions (direct):
La (0.717, 0.717, 0.722)
La (0.075, 0.416, 0.722)
La (0.283, 0.283, 0.278)
La (0.416, 0.075, 0.722)
La (0.925, 0.584, 0.278)
La (0.584, 0.925, 0.278)
Ir (0.330, 0.670, 0.500)
Ir (0.670, 0.330, 0.500)
S (0.000, 0.000, 0.500)
Cl (0.841, 0.159, 0.000)
Cl (0.159, 0.841, 0.000)

---

No. 14
# EuInPd

A relaxed EuInPd crystal (PBE, Alexandria via LeMat-Bulk).

## Properties
Space group: P-6m2 (187)
Raw total energy (eV per atom): -6.659
Formation energy from the elements (eV per atom): -0.591

Lattice parameters (Å, degrees): 3.968 4.718 4.718 120.00 90.00 90.00
Each line ends with the local moment (μB).
Positions (direct):
Eu (0.667, 0.667, 0.333)  6.79
Pd (0.167, 0.333, 0.667)  -0.03
In (0.166, 0.000, 0.000)  0.02

---

No. 15
# BaPrGaHg

A relaxed BaPrGaHg crystal (PBE, Alexandria via LeMat-Bulk).

## Properties
Space group: F-43m (216)
Raw total energy (eV per atom): -2.868
Formation energy from the elements (eV per atom): -0.360

Lattice parameters (Å, degrees): 5.621 5.621 5.621 60.00 60.00 60.00
Positions (direct):
Pr (0.500, 0.500, 0.500)
Hg (0.750, 0.750, 0.750)
Ga (0.250, 0.250, 0.250)
Ba (0.000, 0.000, 0.000)

---

No. 16
# Tb4PmSe5

A relaxed Tb4PmSe5 crystal (PBE, Alexandria via LeMat-Bulk).

## Properties
Space group: I4/mmm (139)
ΔE_f (raw) (meV per atom): -1782
Raw total energy (eV per atom): -5.851

Lattice parameters (Å, degrees): 4.110 4.110 14.887 97.93 97.93 90.00
Positions (direct):
Tb (0.402, 0.402, 0.804)
Tb (0.796, 0.796, 0.593)
Tb (0.204, 0.204, 0.407)
Tb (0.598, 0.598, 0.196)
Pm (0.000, 0.000, 0.000)
Se (0.103, 0.103, 0.205)
Se (0.500, 0.500, 0.000)
Se (0.897, 0.897, 0.795)
Se (0.302, 0.302, 0.605)
Se (0.698, 0.698, 0.395)

---

No. 17
# Pm2Th2Al4Cu

A relaxed Pm2Th2Al4Cu crystal (PBE, Alexandria via LeMat-Bulk).

## Properties
Space group: I4/mmm (139)
Raw total energy (eV per atom): -4.970
Formation energy from the elements (eV per atom): -0.147

Lattice parameters (Å, degrees): 6.678 6.678 6.678 95.99 116.60 116.60
Positions (direct):
Pm (0.000, 0.694, 0.694)
Pm (0.000, 0.306, 0.306)
Th (0.500, 0.750, 0.250)
Th (0.500, 0.250, 0.750)
Al (0.000, 0.764, 0.236)
Al (0.527, 0.764, 0.764)
Al (0.000, 0.236, 0.764)
Al (0.473, 0.236, 0.236)
Cu (0.000, 0.000, 0.000)